This record from Alexandria describes a relaxed Y2ThSe3 crystal. The functional is PBE.

The structure in POSCAR format:
```
Y2ThSe3
1.0
3.8994 0.0000 -1.1048
-0.6133 5.4096 -2.1647
-0.0575 -0.2856 7.2310
Y Th Se
2 1 3
Cartesian
2.4644 0.7854 1.2645
0.7641 4.3386 2.6970
-0.3067 2.7048 -1.0824
1.0307 1.5727 3.6380
0.0000 0.0000 0.0000
2.1978 3.5513 0.3235
```

Properties
DFT total energy in eV per atom: -6.799
Formation energy from raw total energies in eV per formula unit: -9.99